SnGeTeI2 | the Alexandria database | PBE | relaxed; energy relative to the elements, uncorrected = 0.397 eV per atom; E above lowest polymorph = 24.3 kJ per mole of atoms; magnetic moment = 0.5 μB/cell
1.0
5.895 0.000 0.000
0.000 5.895 0.000
0.000 0.000 5.909
Sn Ge Te I
1 1 1 2
direct
0.000 0.000 0.000
0.500 0.500 0.500
0.000 0.000 0.500
0.000 0.500 0.000
0.500 0.000 0.000

---

GaTcBr2 | the Alexandria database | PBE | relaxed; energy relative to the elements, uncorrected = 0.418 eV per atom; E above lowest polymorph = 29.2 kJ per mole of atoms; magnetic moment = 0.0 μB/cell
1.0
1.591 0.918 10.091
-1.591 0.918 10.091
0.000 -1.837 10.091
Ga Tc Br
1 1 2
direct
0.000 0.000 0.000
0.500 0.500 0.500
0.421 0.421 0.421
0.579 0.579 0.579

---

ScGePt5 | the Alexandria database | PBE | relaxed; DFT total energy = -46.93 eV/f.u.; magnetic moment = 0.0 μB/cell
1.0
4.014 0.000 0.000
0.000 4.014 0.000
0.000 0.000 7.172
Sc Ge Pt
1 1 5
direct
0.000 0.000 0.000
0.500 0.500 0.500
0.000 0.500 0.281
0.000 0.500 0.719
0.500 0.000 0.281
0.500 0.000 0.719
0.500 0.500 0.000

---

Ce2SmThSe5 | the Alexandria database | PBE | relaxed; energy relative to the elements, uncorrected = -1.096 eV per atom; magnetic moment = 3.6 μB/cell
1.0
5.357 0.000 0.000
0.000 5.357 0.000
0.000 0.000 11.007
Ce Sm Th Se
2 1 1 5
direct
0.000 0.000 0.211
0.000 0.000 0.789
0.500 0.500 0.500
0.500 0.500 0.000
0.000 0.000 0.500
0.000 0.500 0.000
0.500 0.000 0.000
0.500 0.500 0.256
0.500 0.500 0.744

---

KSr3Re | the Alexandria database | PBE | relaxed; E above lowest polymorph = 0.0 kJ per mole of atoms; magnetic moment = 0.0 μB/cell
1.0
6.061 0.000 0.000
0.000 6.061 0.000
0.000 0.000 6.061
K Sr Re
1 3 1
direct
0.000 0.000 0.000
0.000 0.500 0.500
0.500 0.000 0.500
0.500 0.500 0.000
0.500 0.500 0.500

---

PuZrZn17 | the Alexandria database | PBE | relaxed; DFT total energy = -47.08 eV/f.u.; magnetic moment = 5.6 μB/cell
1.0
4.453 2.571 4.374
-4.453 2.571 4.374
0.000 -5.142 4.374
Pu Zr Zn
1 1 17
direct
0.000 0.000 0.000
0.337 0.337 0.337
0.024 0.024 0.493
0.024 0.493 0.024
0.160 0.672 0.672
0.314 0.314 0.817
0.314 0.817 0.314
0.368 0.663 0.967
0.368 0.967 0.663
0.493 0.024 0.024
0.562 0.562 0.562
0.663 0.368 0.967
0.663 0.967 0.368
0.672 0.160 0.672
0.672 0.672 0.160
0.762 0.762 0.762
0.817 0.314 0.314
0.967 0.368 0.663
0.967 0.663 0.368

---

Sm12Ho7Al | the Alexandria database | PBE | relaxed; DFT total energy = -90.10 eV/f.u.; magnetic moment = 0.0 μB/cell
1.0
7.436 4.293 3.384
-7.436 4.293 3.384
0.000 -8.586 3.384
Sm Ho Al
12 7 1
direct
0.064 0.294 0.398
0.217 0.681 0.383
0.294 0.398 0.063
0.319 0.617 0.783
0.383 0.217 0.681
0.398 0.063 0.294
0.602 0.937 0.706
0.617 0.783 0.319
0.681 0.383 0.217
0.706 0.602 0.937
0.783 0.319 0.617
0.937 0.706 0.602
0.006 0.903 0.307
0.097 0.693 0.994
0.307 0.006 0.903
0.500 0.500 0.500
0.693 0.994 0.097
0.903 0.307 0.006
0.994 0.097 0.693
0.000 0.000 0.000

---

Ce2Cd2Hg4Pb3 | the Alexandria database | PBE | relaxed; DFT total energy = -27.91 eV/f.u.; magnetic moment = 2.1 μB/cell
1.0
5.305 0.000 0.000
-2.653 4.595 0.000
0.000 0.000 12.590
Ce Cd Hg Pb
2 2 4 3
direct
0.333 0.667 0.169
0.667 0.333 0.831
0.333 0.667 0.665
0.667 0.333 0.335
0.333 0.667 0.435
0.333 0.667 0.910
0.667 0.333 0.090
0.667 0.333 0.565
0.000 0.000 0.000
0.000 0.000 0.283
0.000 0.000 0.717